Record 1
# PBE LiGaSbIr, optimized geometry
data_LiGaSbIr
_symmetry_space_group_name_H-M 'F -4 3 m'
_symmetry_Int_Tables_number 216
_symmetry_space_group_name_Hall 'F -4 2 3'
_cell_length_a 6.3980
_cell_length_b 6.3980
_cell_length_c 6.3980
_cell_angle_alpha 90.00
_cell_angle_beta 90.00
_cell_angle_gamma 90.00
loop_
_atom_site_label
_atom_site_type_symbol
_atom_site_fract_x
_atom_site_fract_y
_atom_site_fract_z
Li1 Li 0.0000 0.0000 0.0000
Ga1 Ga 0.2500 0.2500 0.7500
Sb1 Sb 0.2500 0.2500 0.2500
Ir1 Ir 0.0000 0.0000 0.5000
# * V: 16.4 A^3/atom
# * ΔE_f (raw): -312 meV per atom
# * spin magnetization: 0.00 μB/atom


Record 2
# PBE LiGaSiIr, optimized geometry
data_LiGaSiIr
_symmetry_space_group_name_H-M 'F -4 3 m'
_symmetry_Int_Tables_number 216
_symmetry_space_group_name_Hall 'F -4 2 3'
_cell_length_a 6.0017
_cell_length_b 6.0017
_cell_length_c 6.0017
_cell_angle_alpha 90.00
_cell_angle_beta 90.00
_cell_angle_gamma 90.00
loop_
_atom_site_label
_atom_site_type_symbol
_atom_site_fract_x
_atom_site_fract_y
_atom_site_fract_z
Li1 Li 0.0000 0.0000 0.0000
Ga1 Ga 0.2500 0.2500 0.2500
Si1 Si 0.2500 0.2500 0.7500
Ir1 Ir 0.0000 0.0000 0.5000
# * V: 13.5 A^3/atom
# * ΔE_f (raw): -472 meV per atom
# * spin magnetization: 0.00 μB/atom


Record 3
# PBE Li2GaSi2Ir5, optimized geometry
data_Li2GaSi2Ir5
_symmetry_space_group_name_H-M 'P 4/m b m'
_symmetry_Int_Tables_number 127
_symmetry_space_group_name_Hall '-P 4 2ab'
_cell_length_a 9.8390
_cell_length_b 9.8390
_cell_length_c 3.0581
_cell_angle_alpha 90.00
_cell_angle_beta 90.00
_cell_angle_gamma 90.00
loop_
_atom_site_label
_atom_site_type_symbol
_atom_site_fract_x
_atom_site_fract_y
_atom_site_fract_z
Li1 Li 0.1704 0.3296 0.0000
Ga1 Ga 0.0000 0.0000 0.0000
Si1 Si 0.1329 0.6329 0.0000
Ir1 Ir 0.0000 0.5000 0.5000
Ir2 Ir 0.0694 0.8011 0.5000
# * V: 14.8 A^3/atom
# * ΔE_f (raw): -412 meV per atom
# * spin magnetization: 0.00 μB/atom


Record 4
# PBE LiSmGa4Ir2, optimized geometry
data_LiSmGa4Ir2
_symmetry_space_group_name_H-M 'R -3 m'
_symmetry_Int_Tables_number 166
_symmetry_space_group_name_Hall '-R 3 2"'
_cell_length_a 4.2815
_cell_length_b 4.2815
_cell_length_c 25.5384
_cell_angle_alpha 90.00
_cell_angle_beta 90.00
_cell_angle_gamma 120.00
loop_
_atom_site_label
_atom_site_type_symbol
_atom_site_fract_x
_atom_site_fract_y
_atom_site_fract_z
Li1 Li 0.0000 0.0000 0.0000
Sm1 Sm 0.0000 0.0000 0.5000
Ga1 Ga 0.0000 0.0000 0.0991
Ga2 Ga 0.0000 0.0000 0.3678
Ir1 Ir 0.0000 0.0000 0.2641
# * V: 16.9 A^3/atom
# * spin magnetization: 0.00 μB/atom
# * ΔE_f: -4.6 eV/f.u.


Record 5
# PBE LiSmGaIr, optimized geometry
data_LiSmGaIr
_symmetry_space_group_name_H-M 'F -4 3 m'
_symmetry_Int_Tables_number 216
_symmetry_space_group_name_Hall 'F -4 2 3'
_cell_length_a 6.6241
_cell_length_b 6.6241
_cell_length_c 6.6241
_cell_angle_alpha 90.00
_cell_angle_beta 90.00
_cell_angle_gamma 90.00
loop_
_atom_site_label
_atom_site_type_symbol
_atom_site_fract_x
_atom_site_fract_y
_atom_site_fract_z
Li1 Li 0.0000 0.0000 0.0000
Sm1 Sm 0.2500 0.2500 0.2500
Ga1 Ga 0.2500 0.2500 0.7500
Ir1 Ir 0.0000 0.0000 0.5000
# * V: 18.2 A^3/atom
# * spin magnetization: 0.00 μB/atom
# * ΔE_f: -1.9 eV/f.u.


Record 6
# PBE SrLiGaIr, optimized geometry
data_SrLiGaIr
_symmetry_space_group_name_H-M 'C 1 m 1'
_symmetry_Int_Tables_number 8
_symmetry_space_group_name_Hall 'C -2y'
_cell_length_a 7.5858
_cell_length_b 4.3762
_cell_length_c 5.9083
_cell_angle_alpha 90.00
_cell_angle_beta 115.50
_cell_angle_gamma 90.00
loop_
_atom_site_label
_atom_site_type_symbol
_atom_site_fract_x
_atom_site_fract_y
_atom_site_fract_z
Sr1 Sr 0.0000 0.0000 0.0000
Li1 Li 0.3085 0.5000 0.4267
Ga1 Ga 0.0224 0.5000 0.5678
Ir1 Ir 0.2004 0.0000 0.6021
# * V: 22.1 A^3/atom
# * spin magnetization: 0.00 μB/atom
# * ΔE_f: -1.7 eV/f.u.


Record 7
# PBE Sr2LiGaIr2, optimized geometry
data_Sr2LiGaIr2
_symmetry_space_group_name_H-M 'I b a m'
_symmetry_Int_Tables_number 72
_symmetry_space_group_name_Hall '-I 2 2c'
_cell_length_a 6.0442
_cell_length_b 14.4047
_cell_length_c 6.2224
_cell_angle_alpha 90.00
_cell_angle_beta 90.00
_cell_angle_gamma 90.00
loop_
_atom_site_label
_atom_site_type_symbol
_atom_site_fract_x
_atom_site_fract_y
_atom_site_fract_z
Sr1 Sr 0.2428 0.1680 0.0000
Li1 Li 0.0000 0.0000 0.2500
Ga1 Ga 0.0000 0.5000 0.2500
Ir1 Ir 0.2285 0.3996 0.0000
# * V: 22.6 A^3/atom
# * spin magnetization: 0.00 μB/atom
# * ΔE_f: -1.7 eV/f.u.


Record 8
# PBE LiTbGaIr, optimized geometry
data_LiTbGaIr
_symmetry_space_group_name_H-M 'F -4 3 m'
_symmetry_Int_Tables_number 216
_symmetry_space_group_name_Hall 'F -4 2 3'
_cell_length_a 6.5527
_cell_length_b 6.5527
_cell_length_c 6.5527
_cell_angle_alpha 90.00
_cell_angle_beta 90.00
_cell_angle_gamma 90.00
loop_
_atom_site_label
_atom_site_type_symbol
_atom_site_fract_x
_atom_site_fract_y
_atom_site_fract_z
Li1 Li 0.0000 0.0000 0.0000
Tb1 Tb 0.2500 0.2500 0.7500
Ga1 Ga 0.2500 0.2500 0.2500
Ir1 Ir 0.0000 0.0000 0.5000
# * V: 17.6 A^3/atom
# * spin magnetization: 0.00 μB/atom
# * ΔE_f: -2.2 eV/f.u.


Record 9
# PBE LiTb2Ga4Ir3, optimized geometry
data_LiTb2Ga4Ir3
_symmetry_space_group_name_H-M 'P -4 m 2'
_symmetry_Int_Tables_number 115
_symmetry_space_group_name_Hall 'P -4 -2'
_cell_length_a 4.0678
_cell_length_b 4.0678
_cell_length_c 11.0745
_cell_angle_alpha 90.00
_cell_angle_beta 90.00
_cell_angle_gamma 90.00
loop_
_atom_site_label
_atom_site_type_symbol
_atom_site_fract_x
_atom_site_fract_y
_atom_site_fract_z
Li1 Li 0.0000 0.0000 0.0000
Tb1 Tb 0.0000 0.5000 0.7417
Ga1 Ga 0.0000 0.0000 0.5000
Ga2 Ga 0.0000 0.5000 0.1324
Ga3 Ga 0.5000 0.5000 0.5000
Ir1 Ir 0.0000 0.5000 0.3596
Ir2 Ir 0.5000 0.5000 0.0000
# * V: 18.3 A^3/atom
# * spin magnetization: 0.00 μB/atom
# * ΔE_f: -6.4 eV/f.u.


Record 10
# PBE LiTh2Ga2Ir5, optimized geometry
data_LiTh2Ga2Ir5
_symmetry_space_group_name_H-M 'P 4/m b m'
_symmetry_Int_Tables_number 127
_symmetry_space_group_name_Hall '-P 4 2ab'
_cell_length_a 9.8344
_cell_length_b 9.8344
_cell_length_c 3.7099
_cell_angle_alpha 90.00
_cell_angle_beta 90.00
_cell_angle_gamma 90.00
loop_
_atom_site_label
_atom_site_type_symbol
_atom_site_fract_x
_atom_site_fract_y
_atom_site_fract_z
Li1 Li 0.0000 0.0000 0.0000
Th1 Th 0.1774 0.3226 0.0000
Ga1 Ga 0.1215 0.6215 0.0000
Ir1 Ir 0.0000 0.5000 0.5000
Ir2 Ir 0.0697 0.7943 0.5000
# * V: 17.9 A^3/atom
# * spin magnetization: 0.00 μB/atom
# * ΔE_f: -5.1 eV/f.u.